VASP calculation (PBE-GGA) on a relaxed structure of BaNa2ZrAu.

Lattice parameters (Å, degrees): 5.828 5.677 5.828 90.00 90.00 90.00
Site moments in Bohr magnetons follow the coordinates.
Positions (direct):
Zr: 0.500 0.500 0.500  1.45
Na: 0.000 0.000 0.500  -0.01
Na: 0.500 0.000 0.000  0.01
Au: 0.000 0.500 0.000  0.00
Ba: 0.000 0.000 0.000  0.03

Results
energy of formation from the pure elements	26.575	kcal/mol of atoms
density of states at the Fermi level	0.7425	states/eV/atom
VASP energy	-10.62	eV for the cell shown
ρ	4061	kg/m³